Compound: KHf3N
Source: the Alexandria database
Functional: meta-GGA SCAN
Structure: PBEsol geometry

Summary:
M_tot   0.000 μB/f.u.
Energy relative to the elements, uncorrected   0.23 eV/atom

Lattice parameters (Å, degrees): 4.567 4.567 4.567 90.00 90.00 90.00
Positions (direct):
K  0.000  0.000  0.000
Hf  0.000  0.500  0.500
Hf  0.500  0.000  0.500
Hf  0.500  0.500  0.000
N  0.500  0.500  0.500


Compound: Zr3IrBr
Source: the Alexandria database
Functional: meta-GGA SCAN
Structure: PBEsol geometry

Summary:
M_tot   0.000 μB/f.u.
Energy relative to the elements, uncorrected   0.55 eV/atom

Lattice parameters (Å, degrees): 4.785 4.785 4.785 90.00 90.00 90.00
Positions (direct):
Zr  0.000  0.000  0.500
Zr  0.000  0.500  0.000
Zr  0.500  0.000  0.000
Ir  0.500  0.500  0.500
Br  0.000  0.000  0.000


Compound: NiIr2Rh
Source: the Alexandria database
Functional: meta-GGA SCAN
Structure: PBEsol geometry

Summary:
M_tot   0.010 μB/f.u.
Energy of formation   0.0571 eV per atom

Lattice parameters (Å, degrees): 5.306 7.443 2.662 90.00 90.00 90.00
Positions (direct):
Ni  0.000  0.000  0.000
Ni  0.500  0.500  0.000
Ir  0.250  0.250  0.500
Ir  0.250  0.750  0.500
Ir  0.750  0.250  0.500
Ir  0.750  0.750  0.500
Rh  0.000  0.500  0.000
Rh  0.500  0.000  0.000


Compound: MnAgHg2
Source: the Alexandria database
Functional: meta-GGA SCAN
Structure: PBEsol geometry

Summary:
M_tot   4.043 μB/f.u.
Energy of formation   0.0273 eV per atom

Lattice parameters (Å, degrees): 6.540 7.032 3.122 90.00 90.00 90.00
Positions (direct):
Mn  0.000  0.000  0.000
Mn  0.500  0.500  0.000
Ag  0.000  0.500  0.000
Ag  0.500  0.000  0.000
Hg  0.250  0.250  0.500
Hg  0.250  0.750  0.500
Hg  0.750  0.250  0.500
Hg  0.750  0.750  0.500


Question: Which value of M_tot does entry 2 give?
Answer: 0.000 μB/f.u.


Copy entry 2 word for word.
Compound: Zr3IrBr
Source: the Alexandria database
Functional: meta-GGA SCAN
Structure: PBEsol geometry

Summary:
M_tot   0.000 μB/f.u.
Energy relative to the elements, uncorrected   0.55 eV/atom

Lattice parameters (Å, degrees): 4.785 4.785 4.785 90.00 90.00 90.00
Positions (direct):
Zr  0.000  0.000  0.500
Zr  0.000  0.500  0.000
Zr  0.500  0.000  0.000
Ir  0.500  0.500  0.500
Br  0.000  0.000  0.000


Question: Among the records above, which one has the highest M_tot?
Answer: MnAgHg2